<P>
This record from Alexandria describes crystalline ZrRuCl2 at its relaxed geometry. The functional is PBE.

Cell lengths 4.6310, 4.6310, 4.6310 Å; angles 60.00, 60.00, 60.00 degrees
Atoms (fractional coordinates):
Zr 0.7500 0.7500 0.7500
Cl 0.0000 0.0000 0.0000
Cl 0.2500 0.2500 0.2500
Ru 0.5000 0.5000 0.5000

---

<Q>
This record from Alexandria describes crystalline ZrRuCl2 at its relaxed geometry. The functional is PBE.

Cell lengths 4.3115, 4.1560, 4.1728 Å; angles 88.78, 90.00, 90.00 degrees
Atoms (fractional coordinates):
Ru 0.5000 0.2500 0.2500
Cl 0.0000 0.0082 0.0083
Cl 0.0000 0.4918 0.4917
Zr 0.5000 0.7500 0.7500

---

<R>
This record from Alexandria describes crystalline ZrRuCl2 at its relaxed geometry. The functional is PBE.

Cell lengths 5.3557, 5.3557, 5.4826 Å; angles 80.74, 80.74, 36.59 degrees
Atoms (fractional coordinates):
Ru 0.6007 0.6007 0.4288
Cl 0.7295 0.7295 0.7510
Cl 0.9474 0.9474 0.1616
Zr 0.2224 0.2224 0.1586

---

<S>
This record from Alexandria describes crystalline ZrRuCl2 at its relaxed geometry. The functional is PBE.

Cell lengths 5.3168, 5.3168, 5.3168 Å; angles 137.29, 137.29, 61.99 degrees
Atoms (fractional coordinates):
Cl 0.2500 0.7500 0.5000
Cl 0.0000 0.0000 0.0000
Ru 0.5000 0.5000 0.0000
Zr 0.7500 0.2500 0.5000

---

Relative calculated energies, zero for the most stable structure, unit eV/atom: <P> 0.587; <Q> 0.388; <R> 0.000; <S> 0.519.

---

<P>
This record from Alexandria describes crystalline ZrRuCl2 at its relaxed geometry. The functional is PBE.

Cell lengths 5.3639, 5.3639, 5.3639 Å; angles 147.16, 118.50, 71.50 degrees
Site moments in Bohr magnetons follow the coordinates.
Atoms (fractional coordinates):
Cl 0.0027 0.0027 0.0000  0.03
Cl 0.4973 0.4973 0.0000  0.03
Ru 0.2500 0.7500 0.5000  1.02
Zr 0.7500 0.2500 0.5000  -0.02

---

<Q>
This record from Alexandria describes crystalline ZrRuCl2 at its relaxed geometry. The functional is PBE.

Cell lengths 3.0600, 5.3303, 4.3010 Å; angles 90.00, 90.00, 90.00 degrees
Atoms (fractional coordinates):
Cl 0.0000 0.0000 0.0000
Cl 0.5000 0.5000 0.0000
Ru 0.5000 0.0000 0.5000
Zr 0.0000 0.5000 0.5000

---

Relative calculated energies, zero for the most stable structure, unit eV/atom: <P> 0.030; <Q> 0.000.

---

<P>
This record from Alexandria describes crystalline ZrRuCl2 at its relaxed geometry. The functional is PBE.

Cell lengths 3.7027, 3.7742, 7.2919 Å; angles 76.81, 90.00, 90.00 degrees
Atoms (fractional coordinates):
Cl 0.0000 0.9978 0.9023
Cl 0.5000 0.3199 0.3492
Ru 0.0000 0.3870 0.5929
Zr 0.5000 0.7953 0.6556

---

<Q>
This record from Alexandria describes crystalline ZrRuCl2 at its relaxed geometry. The functional is PBE.

Cell lengths 8.5686, 8.5686, 8.5686 Å; angles 21.17, 21.17, 21.17 degrees
Atoms (fractional coordinates):
Cl 0.9081 0.9081 0.9081
Cl 0.0919 0.0919 0.0919
Ru 0.0000 0.0000 0.0000
Zr 0.5000 0.5000 0.5000

---

Relative calculated energies, zero for the most stable structure, unit eV/atom: <P> 0.000; <Q> 0.279.

---

<P>
This record from Alexandria describes crystalline ZrRuCl2 at its relaxed geometry. The functional is PBE.

Cell lengths 3.2603, 3.2642, 6.2903 Å; angles 90.00, 90.00, 90.00 degrees
Site moments in Bohr magnetons follow the coordinates.
Atoms (fractional coordinates):
Cl 0.0000 0.0000 0.5143  0.04
Cl 0.0000 0.0000 0.9857  0.04
Zr 0.5000 0.5000 0.7500  -0.12
Ru 0.5000 0.5000 0.2500  1.40

---

<Q>
This record from Alexandria describes crystalline ZrRuCl2 at its relaxed geometry. The functional is PBE.

Cell lengths 10.3946, 10.3946, 10.3946 Å; angles 17.42, 17.42, 17.42 degrees
Site moments in Bohr magnetons follow the coordinates.
Atoms (fractional coordinates):
Zr 0.7500 0.7500 0.7500  0.00
Cl 0.4778 0.4778 0.4778  0.01
Cl 0.0222 0.0222 0.0222  0.01
Ru 0.2500 0.2500 0.2500  2.64

---

<R>
This record from Alexandria describes crystalline ZrRuCl2 at its relaxed geometry. The functional is PBE.

Cell lengths 6.8227, 6.8227, 6.8227 Å; angles 151.57, 144.30, 46.26 degrees
Atoms (fractional coordinates):
Zr 0.6694 0.1694 0.5000
Ru 0.5282 0.5282 0.0000
Cl 0.0263 0.0263 0.0000
Cl 0.2760 0.7760 0.5000

---

Relative calculated energies, zero for the most stable structure, unit eV/atom: <P> 0.531; <Q> 0.256; <R> 0.000.

---

<P>
This record from Alexandria describes crystalline SbS3Cl at its relaxed geometry. The functional is PBE.

Cell lengths 4.7029, 4.7029, 4.7029 Å; angles 90.00, 90.00, 90.00 degrees
Atoms (fractional coordinates):
S 0.0000 0.5000 0.0000
S 0.5000 0.0000 0.0000
S 0.0000 0.0000 0.5000
Cl 0.0000 0.0000 0.0000
Sb 0.5000 0.5000 0.5000

---

<Q>
This record from Alexandria describes crystalline SbS3Cl at its relaxed geometry. The functional is PBE.

Cell lengths 7.8593, 8.0985, 8.0985 Å; angles 75.55, 60.97, 60.97 degrees
Site moments in Bohr magnetons follow the coordinates.
Atoms (fractional coordinates):
S 0.5000 0.0000 0.5000  0.01
S 0.5448 0.5391 0.3712  0.57
S 0.9552 0.1288 0.9609  0.57
S 0.0448 0.8712 0.0391  0.57
S 0.0000 0.0000 0.5000  0.01
S 0.4552 0.4609 0.6288  0.57
Cl 0.5000 0.0000 0.0000  0.01
Cl 0.0000 0.5000 0.5000  0.01
Sb 0.7500 0.8532 0.6468  0.00
Sb 0.2500 0.1468 0.3532  0.00

---

<R>
This record from Alexandria describes crystalline SbS3Cl at its relaxed geometry. The functional is PBE.

Cell lengths 5.0807, 5.0807, 5.0807 Å; angles 90.00, 90.00, 90.00 degrees
Site moments in Bohr magnetons follow the coordinates.
Atoms (fractional coordinates):
Cl 0.5000 0.5000 0.5000  0.53
S 0.5000 0.0000 0.0000  0.49
S 0.0000 0.5000 0.0000  0.44
S 0.0000 0.0000 0.5000  0.47
Sb 0.0000 0.0000 0.0000  -0.01

---

Relative calculated energies, zero for the most stable structure, unit eV/atom: <P> 0.800; <Q> 0.000; <R> 0.641.

---

<P>
This record from Alexandria describes crystalline Sb2S2Cl at its relaxed geometry. The functional is PBE.

Cell lengths 4.8279, 4.8279, 7.2482 Å; angles 117.23, 117.23, 91.23 degrees
Atoms (fractional coordinates):
S 0.7662 0.2338 0.5000
S 0.2338 0.7662 0.5000
Sb 0.4081 0.4081 0.7166
Sb 0.5919 0.5919 0.2834
Cl 0.0000 0.0000 0.0000

---

<Q>
This record from Alexandria describes crystalline Sb2S2Cl at its relaxed geometry. The functional is PBE.

Cell lengths 8.3118, 8.3118, 3.7395 Å; angles 90.00, 90.00, 90.00 degrees
Atoms (fractional coordinates):
Cl 0.0000 0.0000 0.0000
Cl 0.5000 0.5000 0.0000
Sb 0.7112 0.2112 0.0000
Sb 0.2112 0.2888 0.0000
Sb 0.7888 0.7112 0.0000
Sb 0.2888 0.7888 0.0000
S 0.3530 0.1470 0.5000
S 0.6470 0.8530 0.5000
S 0.8530 0.3530 0.5000
S 0.1470 0.6470 0.5000

---

Relative calculated energies, zero for the most stable structure, unit eV/atom: <P> 0.000; <Q> 0.045.